[1]
Here is an optimized crystal structure of TmSc3Te6 from Alexandria via LeMat-Bulk. Energies are from PBE-GGA.

Properties
Space group   P2_1/m, No. 11
ΔE_f (raw)   -1.2124 eV per atom
Density of states at the Fermi level   0.34 states/eV per cell
Crystal system   monoclinic
Electronic total energy   -5.444 eV/atom

abc: 12.051 4.177 12.300
angles: 90.00 109.50 90.00
Sites, in units of the cell vectors:
Tm 0.047 0.250 0.198
Tm 0.953 0.750 0.802
Sc 0.156 0.250 0.581
Sc 0.316 0.750 0.997
Sc 0.435 0.250 0.338
Sc 0.565 0.750 0.662
Sc 0.684 0.250 0.003
Sc 0.844 0.750 0.419
Te 0.082 0.750 0.404
Te 0.114 0.250 0.968
Te 0.197 0.750 0.749
Te 0.260 0.750 0.223
Te 0.391 0.250 0.561
Te 0.479 0.250 0.117
Te 0.521 0.750 0.883
Te 0.609 0.750 0.439
Te 0.740 0.250 0.777
Te 0.803 0.250 0.251
Te 0.886 0.750 0.032
Te 0.918 0.250 0.596

=====

[2]
Here is an optimized crystal structure of Tm3Sc5Te12 from Alexandria via LeMat-Bulk. Energies are from PBE-GGA.

Properties
Space group   Ia-3d, No. 230
ΔE_f (raw)   -1.0469 eV per atom
Crystal system   cubic
Electronic total energy   -5.185 eV/atom

abc: 15.178 15.178 15.178
angles: 109.47 109.47 109.47
Sites, in units of the cell vectors:
Tm 0.125 0.250 0.375
Tm 0.125 0.375 0.750
Tm 0.250 0.375 0.125
Tm 0.250 0.875 0.625
Tm 0.375 0.125 0.250
Tm 0.375 0.750 0.125
Tm 0.625 0.250 0.875
Tm 0.625 0.875 0.750
Tm 0.750 0.125 0.375
Tm 0.750 0.625 0.875
Tm 0.875 0.625 0.250
Tm 0.875 0.750 0.625
Sc 0.000 0.000 0.000
Sc 0.000 0.000 0.500
Sc 0.000 0.500 0.000
Sc 0.000 0.500 0.500
Sc 0.125 0.750 0.875
Sc 0.125 0.875 0.250
Sc 0.250 0.125 0.875
Sc 0.250 0.625 0.375
Sc 0.375 0.250 0.625
Sc 0.375 0.625 0.750
Sc 0.500 0.000 0.000
Sc 0.500 0.000 0.500
Sc 0.500 0.500 0.000
Sc 0.500 0.500 0.500
Sc 0.625 0.375 0.250
Sc 0.625 0.750 0.375
Sc 0.750 0.375 0.625
Sc 0.750 0.875 0.125
Sc 0.875 0.125 0.750
Sc 0.875 0.250 0.125
Te 0.044 0.220 0.126
Te 0.044 0.325 0.918
Te 0.082 0.626 0.407
Te 0.082 0.956 0.675
Te 0.093 0.720 0.675
Te 0.093 0.874 0.418
Te 0.126 0.044 0.220
Te 0.126 0.582 0.907
Te 0.175 0.220 0.593
Te 0.175 0.456 0.582
Te 0.220 0.126 0.044
Te 0.220 0.593 0.175
Te 0.280 0.325 0.907
Te 0.280 0.456 0.374
Te 0.325 0.907 0.280
Te 0.325 0.918 0.044
Te 0.374 0.280 0.456
Te 0.374 0.593 0.918
Te 0.407 0.082 0.626
Te 0.407 0.825 0.780
Te 0.418 0.093 0.874
Te 0.418 0.825 0.544
Te 0.456 0.374 0.280
Te 0.456 0.582 0.175
Te 0.544 0.418 0.825
Te 0.544 0.626 0.720
Te 0.582 0.175 0.456
Te 0.582 0.907 0.126
Te 0.593 0.175 0.220
Te 0.593 0.918 0.374
Te 0.626 0.407 0.082
Te 0.626 0.720 0.544
Te 0.675 0.082 0.956
Te 0.675 0.093 0.720
Te 0.720 0.544 0.626
Te 0.720 0.675 0.093
Te 0.780 0.407 0.825
Te 0.780 0.874 0.956
Te 0.825 0.544 0.418
Te 0.825 0.780 0.407
Te 0.874 0.418 0.093
Te 0.874 0.956 0.780
Te 0.907 0.126 0.582
Te 0.907 0.280 0.325
Te 0.918 0.044 0.325
Te 0.918 0.374 0.593
Te 0.956 0.675 0.082
Te 0.956 0.780 0.874

=====

[3]
Here is an optimized crystal structure of TmScTe2 from Alexandria via LeMat-Bulk. Energies are from PBE-GGA.

Properties
Space group   R-3m, No. 166
Distance to the lowest polymorph of the same formula   14 kJ/mol of formula units
ΔE_f (raw)   -1.1361 eV per atom
Density of states at the Fermi level   7.73 states/eV per cell
Crystal system   trigonal
Electronic total energy   -5.408 eV/atom

abc: 4.240 4.240 20.720
angles: 90.00 90.00 120.00
Sites, in units of the cell vectors:
Tm 0.000 0.000 0.000
Tm 0.333 0.667 0.667
Tm 0.667 0.333 0.333
Sc 0.000 0.000 0.500
Sc 0.333 0.667 0.167
Sc 0.667 0.333 0.833
Te 0.000 0.000 0.247
Te 0.000 0.000 0.753
Te 0.333 0.667 0.420
Te 0.333 0.667 0.913
Te 0.667 0.333 0.087
Te 0.667 0.333 0.580

=====

[4]
Here is an optimized crystal structure of TmScTe2 from Alexandria via LeMat-Bulk. Energies are from PBE-GGA.

Properties
Space group   P4/mmm, No. 123
Distance to the lowest polymorph of the same formula   69 kJ/mol of formula units
ΔE_f (raw)   -0.9934 eV per atom
Density of states at the Fermi level   1.91 states/eV per cell
Crystal system   tetragonal
Electronic total energy   -5.265 eV/atom

abc: 5.221 5.221 3.697
angles: 90.00 90.00 90.00
Sites, in units of the cell vectors:
Tm 0.000 0.000 0.000
Sc 0.500 0.500 0.000
Te 0.000 0.500 0.500
Te 0.500 0.000 0.500

=====

[5]
Here is an optimized crystal structure of TmSc5Te6 from Alexandria via LeMat-Bulk. Energies are from PBE-GGA.

Properties
Space group   C2/m, No. 12
ΔE_f (raw)   -1.1121 eV per atom
Density of states at the Fermi level   7.50 states/eV per cell
Crystal system   monoclinic
Electronic total energy   -5.694 eV/atom

abc: 7.261 7.261 7.259
angles: 99.59 99.59 120.11
Sites, in units of the cell vectors:
Tm 0.000 0.000 0.000
Sc 0.156 0.844 0.500
Sc 0.333 0.667 0.000
Sc 0.500 0.500 0.500
Sc 0.667 0.333 0.000
Sc 0.844 0.156 0.500
Te 0.085 0.427 0.257
Te 0.260 0.260 0.753
Te 0.427 0.085 0.257
Te 0.573 0.915 0.743
Te 0.740 0.740 0.247
Te 0.915 0.573 0.743

=====

[6]
Here is an optimized crystal structure of Tm3ScTe from Alexandria via LeMat-Bulk. Energies are from PBE-GGA.

Properties
Space group   C2/m, No. 12
ΔE_f (raw)   -0.3173 eV per atom
Density of states at the Fermi level   11.39 states/eV per cell
Crystal system   monoclinic
Electronic total energy   -4.895 eV/atom

abc: 6.498 6.498 8.821
angles: 95.51 95.51 50.93
Sites, in units of the cell vectors:
Tm 0.065 0.065 0.340
Tm 0.139 0.139 0.956
Tm 0.376 0.376 0.350
Tm 0.624 0.624 0.650
Tm 0.861 0.861 0.044
Tm 0.935 0.935 0.660
Sc 0.422 0.422 0.859
Sc 0.578 0.578 0.141
Te 0.226 0.226 0.634
Te 0.774 0.774 0.366